1.
Below is a relaxed TbPm3Nd6 crystal, with properties calculated at the PBE-GGA level.

Properties
M_tot   0.0 Bohr magnetons per cell
Symmetry   Cmc2_1, No. 36
Energy above the most stable polymorph in this dataset   0 meV per atom
Energy of formation   12.94 kJ per mole of atoms

Cell: 11.162 11.162 6.512 Å, 90.00 90.00 120.74°
Sites, in units of the cell vectors:
1 Tb 0.191 0.809 0.500
2 Tb 0.809 0.191 0.000
3 Pm 0.057 0.292 0.651
4 Pm 0.292 0.057 0.151
5 Pm 0.384 0.616 0.529
6 Pm 0.616 0.384 0.029
7 Pm 0.708 0.943 0.651
8 Pm 0.943 0.708 0.151
9 Nd 0.034 0.966 0.752
10 Nd 0.058 0.475 0.242
11 Nd 0.278 0.722 0.962
12 Nd 0.289 0.371 0.056
13 Nd 0.371 0.289 0.556
14 Nd 0.475 0.058 0.742
15 Nd 0.525 0.942 0.242
16 Nd 0.629 0.711 0.056
17 Nd 0.711 0.629 0.556
18 Nd 0.722 0.278 0.462
19 Nd 0.942 0.525 0.742
20 Nd 0.966 0.034 0.252



2.
Below is a relaxed TbPm4Nd5 crystal, with properties calculated at the PBE-GGA level.

Properties
M_tot   0.0 Bohr magnetons per cell
Symmetry   P4/mmm, No. 123
Energy above the most stable polymorph in this dataset   2 meV per atom
Energy of formation   1.54 kJ per mole of atoms

Cell: 3.669 3.669 25.784 Å, 90.00 90.00 90.00°
Sites, in units of the cell vectors:
1 Tb 0.000 0.000 0.000
2 Pm 0.000 0.000 0.199
3 Pm 0.000 0.000 0.399
4 Pm 0.000 0.000 0.601
5 Pm 0.000 0.000 0.801
6 Nd 0.500 0.500 0.098
7 Nd 0.500 0.500 0.299
8 Nd 0.500 0.500 0.500
9 Nd 0.500 0.500 0.701
10 Nd 0.500 0.500 0.902



3.
Below is a relaxed TbPmNd crystal, with properties calculated at the PBE-GGA level.

Properties
M_tot   0.0 Bohr magnetons per cell
Symmetry   Cm, No. 8
Energy above the most stable polymorph in this dataset   0 meV per atom
Energy of formation   -5.30 kJ per mole of atoms

Cell: 3.637 3.637 9.144 Å, 101.70 101.70 60.04°
Sites, in units of the cell vectors:
1 Tb 0.000 0.000 0.000
2 Pm 0.222 0.222 0.673
3 Nd 0.780 0.780 0.330



4.
Below is a relaxed Tb5PmNd2 crystal, with properties calculated at the PBE-GGA level.

Properties
M_tot   0.0 Bohr magnetons per cell
Symmetry   Pbam, No. 55
Energy above the most stable polymorph in this dataset   0 meV per atom
Energy of formation   1.52 kJ per mole of atoms

Cell: 7.204 14.412 5.092 Å, 90.00 90.00 90.00°
Sites, in units of the cell vectors:
1 Tb 0.000 0.000 0.000
2 Tb 0.001 0.249 0.000
3 Tb 0.249 0.625 0.500
4 Tb 0.251 0.125 0.500
5 Tb 0.499 0.749 0.000
6 Tb 0.500 0.500 0.000
7 Tb 0.501 0.251 0.000
8 Tb 0.749 0.875 0.500
9 Tb 0.751 0.375 0.500
10 Tb 0.999 0.751 0.000
11 Pm 0.000 0.500 0.000
12 Pm 0.500 0.000 0.000
13 Nd 0.249 0.875 0.500
14 Nd 0.251 0.375 0.500
15 Nd 0.749 0.625 0.500
16 Nd 0.751 0.125 0.500